The following is a GGA-PBE calculation of Zr6Ga3Pd after structural relaxation, from Alexandria via LeMat-Bulk.

Cell: 5.4058 7.8162 9.9995 Å, 90.00 89.05 90.00°
Last column: nearest neighbours and their distance in Å.
Atoms (fractional coordinates):
Pd 0.5000 0.5000 0.5000  6 Zr 2.62-2.75
Pd 0.0000 0.0000 0.0000  6 Zr 2.62-2.75
Ga 0.6070 0.8700 0.7470  6 Zr 2.81-2.97
Ga 0.5000 0.5000 0.0000  6 Zr 2.64-2.71
Ga 0.8930 0.3700 0.7530  6 Zr 2.81-2.97
Ga 0.1070 0.6300 0.2470  6 Zr 2.81-2.97
Ga 0.0000 0.0000 0.5000  6 Zr 2.64-2.71
Ga 0.3930 0.1300 0.2530  6 Zr 2.81-2.97
Zr 0.1443 0.0327 0.7501  1 Pd 2.62, 2 Ga 2.64-2.81
Zr 0.8557 0.9673 0.2499  1 Pd 2.62, 2 Ga 2.64-2.81
Zr 0.9138 0.6700 0.9267  3 Ga 2.69-2.92, 1 Pd 2.72
Zr 0.0793 0.3288 0.4248  3 Ga 2.71-2.95, 1 Pd 2.75
Zr 0.5862 0.1700 0.5733  3 Ga 2.69-2.92, 1 Pd 2.72
Zr 0.4138 0.8300 0.4267  3 Ga 2.69-2.92, 1 Pd 2.72
Zr 0.5793 0.1712 0.9248  3 Ga 2.71-2.95, 1 Pd 2.75
Zr 0.0862 0.3300 0.0733  3 Ga 2.69-2.92, 1 Pd 2.72
Zr 0.9207 0.6712 0.5752  3 Ga 2.71-2.95, 1 Pd 2.75
Zr 0.4207 0.8288 0.0752  3 Ga 2.71-2.95, 1 Pd 2.75
Zr 0.3557 0.5327 0.7499  1 Pd 2.62, 2 Ga 2.64-2.81
Zr 0.6443 0.4673 0.2501  1 Pd 2.62, 2 Ga 2.64-2.81

Volume (Å³ per atom): 21.122
Fermi-level density of states (states/eV/f.u.): 10.2
Space group: No. 14
E_form (meV per atom): -286



The following is a GGA-PBE calculation of SmHo2ErSc2 after structural relaxation, from Alexandria via LeMat-Bulk.

Cell: 3.3319 6.2772 17.2915 Å, 90.00 90.00 90.00°
Last column: nearest neighbours and their distance in Å.
Atoms (fractional coordinates):
Sc 0.5000 0.2254 0.6465  1 Er 3.06, 4 Ho 3.23-3.28, 2 Sc 3.33, 2 Sm 3.35
Sc 0.5000 0.7746 0.3535  1 Er 3.06, 4 Ho 3.23-3.28, 2 Sc 3.33, 2 Sm 3.35
Sc 0.0000 0.2746 0.1465  1 Er 3.06, 4 Ho 3.23-3.28, 2 Sc 3.33, 2 Sm 3.35
Sc 0.0000 0.7254 0.8535  1 Er 3.06, 4 Ho 3.23-3.28, 2 Sc 3.33, 2 Sm 3.35
Ho 0.5000 0.7258 0.6902  4 Sc 3.23-3.28, 2 Ho 3.33, 1 Er 3.58
Ho 0.0000 0.2258 0.8098  4 Sc 3.23-3.28, 2 Ho 3.33, 1 Er 3.58
Ho 0.0000 0.7742 0.1902  4 Sc 3.23-3.28, 2 Ho 3.33, 1 Er 3.58
Ho 0.5000 0.2742 0.3098  4 Sc 3.23-3.28, 2 Ho 3.33, 1 Er 3.58
Er 0.0000 0.0000 0.0000  2 Sc 3.06, 2 Er 3.33
Er 0.5000 0.5000 0.5000  2 Sc 3.06, 2 Er 3.33
Sm 0.0000 0.0000 0.5000  2 Sm 3.33, 4 Sc 3.35, 4 Er 3.55
Sm 0.5000 0.5000 0.0000  2 Sm 3.33, 4 Sc 3.35, 4 Er 3.55

Volume (Å³ per atom): 30.138
Fermi-level density of states (states/eV/f.u.): 9.8
Space group: No. 58
E_form (meV per atom): 283



The following is a GGA-PBE calculation of SiMo2P after structural relaxation, from Alexandria via LeMat-Bulk.

Cell: 2.7591 2.7591 8.3224 Å, 90.00 90.00 109.17°
Last column: nearest neighbours and their distance in Å.
Atoms (fractional coordinates):
Si 0.5000 0.5000 0.7526  2 Mo 2.56, 2 P 2.69, 4 Si 2.76
P 0.0000 0.0000 0.4926  2 Mo 2.50, 2 Si 2.69, 4 P 2.76
Mo 0.0000 0.0000 0.9933  2 Si 2.56, 6 Mo 2.75-2.76
Mo 0.5000 0.5000 0.2615  2 P 2.50, 6 Mo 2.75-2.76

Volume (Å³ per atom): 14.961
Formation energy from raw total energies (eV/atom): 0.17
Fermi-level density of states (states/eV/f.u.): 2.9
Distance to the lowest polymorph of the same formula (meV per atom): 636
Space group: No. 35



The following is a GGA-PBE calculation of Ba3Te after structural relaxation, from Alexandria via LeMat-Bulk.

Cell: 4.3066 4.3066 11.4027 Å, 90.00 90.00 90.04°
Last column: nearest neighbours and their distance in Å.
Atoms (fractional coordinates):
Te 0.5000 0.5000 0.2500  8 Ba 3.65
Ba 0.0000 0.0000 0.4262  4 Te 3.65, 1 Ba 4.02
Ba 0.0000 0.0000 0.0738  4 Te 3.65, 1 Ba 4.02
Ba 0.5000 0.5000 0.7500  12 Ba 4.31-4.79

Volume (Å³ per atom): 52.870
Formation energy from raw total energies (eV/atom): -0.75
Fermi-level density of states (states/eV/f.u.): 3.5
Distance to the lowest polymorph of the same formula (meV per atom): 27
Space group: No. 123



- Which of these has the highest Fermi-level density of states?
  Zr6Ga3Pd



- Among the records above, which one has the lowest volume?
  SiMo2P



- What is the volume in the third record?
  14.961 Å³ per atom